(w)
Cr2TcNi2 | PBE | optimized geometry

abc: 6.1559 6.1559 6.1559
angles: 148.84 148.84 44.64
Sites, in units of the cell vectors:
Cr 0.2500 0.7500 0.5000
Cr 0.7500 0.2500 0.5000
Tc 0.0000 0.0000 0.0000
Ni 0.4027 0.4027 0.0000
Ni 0.5973 0.5973 0.0000

Values from the calculation:
Crystal system   tetragonal
Density of states at the Fermi level   4.7 states/eV per cell

=====

(x)
Cr2TcNi2 | PBE | optimized geometry

abc: 6.9142 6.9142 2.5178
angles: 90.00 90.00 90.00
Sites, in units of the cell vectors:
Cr 0.1747 0.3253 0.0000
Cr 0.3253 0.8253 0.0000
Cr 0.6747 0.1747 0.0000
Cr 0.8253 0.6747 0.0000
Tc 0.0000 0.0000 0.5000
Tc 0.5000 0.5000 0.5000
Ni 0.1219 0.6219 0.5000
Ni 0.3781 0.1219 0.5000
Ni 0.6219 0.8781 0.5000
Ni 0.8781 0.3781 0.5000

Values from the calculation:
Crystal system   tetragonal
Density of states at the Fermi level   11.0 states/eV per cell

=====

(y)
Cr2TcNi2 | PBE | optimized geometry

abc: 6.9520 6.9520 2.5059
angles: 90.00 90.00 90.00
Sites, in units of the cell vectors:
Cr 0.1149 0.3851 0.0000
Cr 0.3851 0.8851 0.0000
Cr 0.6149 0.1149 0.0000
Cr 0.8851 0.6149 0.0000
Tc 0.0000 0.0000 0.0000
Tc 0.5000 0.5000 0.0000
Ni 0.1796 0.6796 0.5000
Ni 0.3204 0.1796 0.5000
Ni 0.6796 0.8204 0.5000
Ni 0.8204 0.3204 0.5000

Values from the calculation:
Crystal system   tetragonal
Density of states at the Fermi level   13.7 states/eV per cell

=====

The structure with the least stability is (w).